No. 1
Compound: SmHo2ErSe4
Source: Alexandria
Functional: PBE
Structure: optimized geometry

abc: 7.056 4.025 7.148
angles: 90.00 108.77 90.00
Atoms (fractional coordinates):
Sm (0.000, 0.000, 0.000)
Ho (0.500, 0.000, 0.500)
Ho (0.500, 0.500, 0.000)
Er (0.000, 0.500, 0.500)
Se (0.252, 0.000, 0.745)
Se (0.257, 0.500, 0.258)
Se (0.743, 0.500, 0.742)
Se (0.748, 0.000, 0.255)

Spin magnetization ... 0.00 μB/atom
Crystal system ... monoclinic
Total DFT energy (no corrections) ... -5.781 eV/atom

No. 2
Compound: Sr3HoEr3Se8
Source: Alexandria
Functional: PBE
Structure: optimized geometry

abc: 8.569 8.569 8.569
angles: 57.71 57.71 57.71
Atoms (fractional coordinates):
Sr (0.000, 0.500, 0.500)
Sr (0.500, 0.000, 0.500)
Sr (0.500, 0.500, 0.000)
Ho (0.500, 0.500, 0.500)
Er (0.000, 0.000, 0.500)
Er (0.000, 0.500, 0.000)
Er (0.500, 0.000, 0.000)
Se (0.239, 0.743, 0.743)
Se (0.242, 0.242, 0.242)
Se (0.257, 0.257, 0.761)
Se (0.257, 0.761, 0.257)
Se (0.743, 0.239, 0.743)
Se (0.743, 0.743, 0.239)
Se (0.758, 0.758, 0.758)
Se (0.761, 0.257, 0.257)

Spin magnetization ... 0.00 μB/atom
Crystal system ... trigonal
Total DFT energy (no corrections) ... -5.327 eV/atom

No. 3
Compound: Sr2HoErSe4
Source: Alexandria
Functional: PBE
Structure: optimized geometry

abc: 7.243 4.189 7.434
angles: 90.00 109.02 90.00
Atoms (fractional coordinates):
Sr (0.000, 0.000, 0.000)
Sr (0.500, 0.500, 0.000)
Ho (0.000, 0.500, 0.500)
Er (0.500, 0.000, 0.500)
Se (0.244, 0.000, 0.728)
Se (0.258, 0.500, 0.272)
Se (0.742, 0.500, 0.728)
Se (0.756, 0.000, 0.272)

Spin magnetization ... 0.00 μB/atom
Crystal system ... monoclinic
Total DFT energy (no corrections) ... -5.168 eV/atom